1.
Computed, not measured: a relaxed NpZn3N4 crystal at the PBE-GGA level of DFT.

Computed properties:
The total energy comes out at -6.441 eV/atom.

Cell lengths 4.583, 6.896, 6.442 Å; angles 90.00, 90.00, 90.00 degrees
Last column: magnetic moment on the atom in μB.
Fractional positions:
Zn 0.436 0.756 0.656  -0.01
Zn 0.436 0.000 0.195  -0.01
Zn 0.436 0.244 0.656  -0.01
Zn 0.936 0.256 0.344  -0.01
Zn 0.936 0.744 0.344  -0.01
Zn 0.936 0.500 0.805  -0.01
N 0.935 0.500 0.141  -0.07
N 0.435 0.264 0.343  -0.08
N 0.935 0.764 0.657  -0.08
N 0.935 0.236 0.657  -0.08
N 0.935 0.000 0.176  -0.09
N 0.435 0.736 0.343  -0.08
N 0.435 0.000 0.859  -0.07
N 0.435 0.500 0.824  -0.09
Np 0.935 0.000 0.861  1.34
Np 0.435 0.500 0.139  1.34

2.
Computed, not measured: a relaxed Na3VCr3S8 crystal at the PBE-GGA level of DFT.

Computed properties:
The total energy comes out at -5.902 eV/atom.

Cell lengths 7.047, 7.047, 7.775 Å; angles 116.95, 90.00, 120.00 degrees
Last column: magnetic moment on the atom in μB.
Fractional positions:
Na 0.000 0.000 0.000  0.00
Na 0.000 0.500 0.000  0.00
Na 0.500 0.500 0.000  0.00
S 0.733 0.965 0.697  -0.08
S 0.232 0.965 0.697  -0.08
S 0.267 0.535 0.303  -0.08
S 0.267 0.035 0.303  -0.08
S 0.768 0.035 0.303  -0.08
S 0.232 0.465 0.697  -0.08
S 0.768 0.535 0.303  -0.08
S 0.733 0.465 0.697  -0.08
Cr 0.500 0.500 0.500  2.87
Cr 0.500 0.000 0.500  2.87
Cr 0.000 0.500 0.500  2.87
V 0.000 0.000 0.500  1.30

3.
Computed, not measured: a relaxed TbPrMg2 crystal at the PBE-GGA level of DFT.

Computed properties:
The calculation puts the offset from the most stable computed form at 6 meV/atom. Its formation energy from the elements is -9.6 kJ/mol of atoms. The total energy comes out at -3.250 eV/atom.

Cell lengths 3.880, 5.434, 5.434 Å; angles 90.00, 90.00, 90.00 degrees
Fractional positions:
Mg 0.000 0.500 0.000
Mg 0.000 0.000 0.500
Pr 0.500 0.000 0.000
Tb 0.500 0.500 0.500

4.
Computed, not measured: a relaxed DyZn2In crystal at the PBE-GGA level of DFT.

Computed properties:
Its formation energy from the elements is -28.7 kJ/mol of atoms. The total energy comes out at -2.769 eV/atom.

Cell lengths 4.116, 4.512, 4.512 Å; angles 90.00, 90.00, 90.00 degrees
Fractional positions:
Dy 0.500 0.500 0.500
Zn 0.000 0.000 0.500
Zn 0.000 0.500 0.000
In 0.500 0.000 0.000

5.
Computed, not measured: a relaxed BaScB crystal at the PBE-GGA level of DFT.

Computed properties:
Its formation energy from the elements is -2.6 kJ/mol of atoms. The total energy comes out at -5.004 eV/atom.

Cell lengths 9.145, 4.453, 4.454 Å; angles 78.96, 94.29, 94.30 degrees
Fractional positions:
Sc 0.368 0.216 0.454
Sc 0.530 0.609 0.847
B 0.449 0.766 0.296
B 0.449 0.058 0.005
Ba 0.760 0.144 0.382
Ba 0.137 0.681 0.919

6.
Computed, not measured: a relaxed SiB2PI crystal at the PBE-GGA level of DFT.

Computed properties:
The total energy comes out at -2.699 eV/atom.

Cell lengths 4.395, 5.384, 4.395 Å; angles 90.00, 90.00, 90.00 degrees
Fractional positions:
P 0.500 0.500 0.500
I 0.000 0.000 0.000
B 0.500 0.000 0.000
B 0.000 0.000 0.500
Si 0.000 0.500 0.000

7.
Computed, not measured: a relaxed Pr6Co2RhI3 crystal at the PBE-GGA level of DFT.

Computed properties:
The total energy comes out at -5.266 eV/atom.

Cell lengths 7.162, 7.162, 8.529 Å; angles 98.04, 98.04, 120.01 degrees
Fractional positions:
I 0.834 0.166 0.500
I 0.500 0.500 0.500
I 0.166 0.834 0.500
Pr 0.403 0.061 0.183
Pr 0.281 0.281 0.817
Pr 0.061 0.403 0.183
Pr 0.597 0.939 0.817
Pr 0.939 0.597 0.817
Pr 0.719 0.719 0.183
Co 0.667 0.333 0.000
Co 0.333 0.667 0.000
Rh 0.000 0.000 0.000

8.
Computed, not measured: a relaxed BeVGaRh2 crystal at the PBE-GGA level of DFT.

Computed properties:
Its formation energy from the elements is 100.9 kJ/mol of atoms. The total energy comes out at -5.069 eV/atom.

Cell lengths 4.496, 4.579, 4.496 Å; angles 90.00, 90.00, 90.00 degrees
Last column: magnetic moment on the atom in μB.
Fractional positions:
Be 0.500 0.500 0.500  0.01
Rh 0.000 0.000 0.500  0.18
Rh 0.500 0.000 0.000  0.11
V 0.000 0.500 0.000  2.44
Ga 0.000 0.000 0.000  0.08

| no. | N(E_F) (states/eV/atom) |
| --- | --- |
| 1 | 0.565 |
| 2 | 0.449 |
| 3 | 1.023 |
| 4 | 0.540 |
| 5 | 0.367 |
| 6 | 0.260 |
| 7 | 0.277 |
| 8 | 0.835 |